{"formula": "Cs2PmCo3F12", "functional": "PBE+U", "state": "relaxed", "volume_a3_per_fu": 313.7, "final_energy_ev_per_cell": -92.688, "dos_at_fermi_per_ev_cell": 10.29, "lattice": [[3.7965, 2.1919, 6.2832], [-3.7965, 2.1919, 6.2832], [0.0000, -4.3838, 6.2832]], "species": ["Cs", "Cs", "Pm", "Co", "Co", "Co", "F", "F", "F", "F", "F", "F", "F", "F", "F", "F", "F", "F"], "fractional_positions": [[0.1116, 0.1116, 0.1116], [0.8884, 0.8884, 0.8884], [0.5000, 0.5000, 0.5000], [0.0000, 0.5000, 0.5000], [0.5000, 0.0000, 0.5000], [0.5000, 0.5000, 0.0000], [0.1389, 0.5916, 0.5916], [0.1987, 0.1987, 0.5826], [0.1987, 0.5826, 0.1987], [0.4084, 0.4084, 0.8611], [0.4084, 0.8611, 0.4084], [0.4174, 0.8013, 0.8013], [0.5826, 0.1987, 0.1987], [0.5916, 0.1389, 0.5916], [0.5916, 0.5916, 0.1389], [0.8013, 0.4174, 0.8013], [0.8013, 0.8013, 0.4174], [0.8611, 0.4084, 0.4084]]}